*a*
DFT (PBE) results for crystalline La3TbNd at its relaxed geometry.

Cell lengths 7.919, 13.725, 6.756 Å; angles 90.00, 90.00, 90.00 degrees
Space group Cmcm (No. 63)
Inequivalent atoms, fractional coordinates:
1 La 0.000 0.199 0.250 [4 per cell]
2 La 0.202 0.400 0.250 [8 per cell]
3 Tb 0.000 0.334 0.750 [4 per cell]
4 Nd 0.000 0.000 0.000 [4 per cell]

The calculation puts the density of states at the Fermi level at 0.959 states/eV/atom.

=====

*b*
DFT (PBE) results for crystalline La3TbNd at its relaxed geometry.

Cell lengths 6.070, 9.831, 12.145 Å; angles 90.00, 90.00, 90.00 degrees
Space group Cmcm (No. 63)
Inequivalent atoms, fractional coordinates:
1 La 0.000 0.051 0.250 [4 per cell]
2 La 0.000 0.354 0.100 [8 per cell]
3 Tb 0.000 0.298 0.750 [4 per cell]
4 Nd 0.000 0.000 0.000 [4 per cell]

The calculation puts the density of states at the Fermi level at 1.509 states/eV/atom.

=====

Stability ranking, top entry: *b*; the second entry is 0.091 eV/atom less favorable.

=====

*a*
DFT (PBE) results for crystalline La3TbNd7 at its relaxed geometry.

Cell lengths 11.917, 10.356, 6.563 Å; angles 90.00, 94.46, 90.00 degrees
Space group C2/m (No. 12)
Inequivalent atoms, fractional coordinates:
1 La 0.000 0.000 0.000 [2 per cell]
2 La 0.000 0.175 0.500 [4 per cell]
3 Tb 0.000 0.500 0.000 [2 per cell]
4 Nd 0.000 0.500 0.500 [2 per cell]
5 Nd 0.239 0.000 0.714 [4 per cell]
6 Nd 0.241 0.328 0.762 [8 per cell]

The calculation puts the density of states at the Fermi level at 1.496 states/eV/atom.

=====

*b*
DFT (PBE) results for crystalline La3TbNd7 at its relaxed geometry.

Cell lengths 6.026, 11.475, 11.577 Å; angles 90.00, 90.00, 90.00 degrees
Space group Immm (No. 71)
Inequivalent atoms, fractional coordinates:
1 La 0.000 0.000 0.000 [2 per cell]
2 La 0.000 0.288 0.500 [4 per cell]
3 Tb 0.000 0.500 0.000 [2 per cell]
4 Nd 0.000 0.000 0.500 [2 per cell]
5 Nd 0.000 0.204 0.199 [8 per cell]
6 Nd 0.000 0.500 0.291 [4 per cell]

The calculation puts the density of states at the Fermi level at 1.535 states/eV/atom.

=====

Stability ranking, top entry: *a*; the second entry is 0.011 eV/atom less favorable.

=====

*a*
DFT (PBE) results for crystalline LaTb4Nd at its relaxed geometry.

Cell lengths 5.105, 6.255, 7.240 Å; angles 106.84, 90.07, 114.04 degrees
Space group P-1 (No. 2)
Inequivalent atoms, fractional coordinates:
1 La 0.000 0.000 0.000 [1 per cell]
2 Tb 0.331 0.662 0.665 [2 per cell]
3 Tb 0.332 0.665 0.167 [2 per cell]
4 Nd 0.000 0.000 0.500 [1 per cell]

The calculation puts the density of states at the Fermi level at 1.482 states/eV/atom.

=====

*b*
DFT (PBE) results for crystalline LaTb4Nd at its relaxed geometry.

Cell lengths 9.450, 9.450, 9.450 Å; angles 90.00, 90.00, 90.00 degrees
Space group F-43m (No. 216)
Inequivalent atoms, fractional coordinates:
1 La 0.000 0.000 0.000 [4 per cell]
2 Tb 0.124 0.124 0.376 [16 per cell]
3 Nd 0.250 0.250 0.750 [4 per cell]

The calculation puts the density of states at the Fermi level at 2.434 states/eV/atom.

=====

*c*
DFT (PBE) results for crystalline LaTb4Nd at its relaxed geometry.

Cell lengths 6.830, 12.136, 9.805 Å; angles 90.00, 90.00, 90.00 degrees
Space group Cmcm (No. 63)
Inequivalent atoms, fractional coordinates:
1 La 0.000 0.000 0.000 [4 per cell]
2 Tb 0.000 0.344 0.073 [8 per cell]
3 Tb 0.234 0.398 0.750 [8 per cell]
4 Nd 0.000 0.179 0.750 [4 per cell]

The calculation puts the density of states at the Fermi level at 1.525 states/eV/atom.

=====

Stability ranking, top entry: *a*; the second entry is 0.217 eV/atom less favorable.

=====

*a*
DFT (PBE) results for crystalline LaTb2Nd2 at its relaxed geometry.

Cell lengths 3.649, 3.649, 25.825 Å; angles 90.00, 90.00, 90.00 degrees
Space group I4/mmm (No. 139)
Inequivalent atoms, fractional coordinates:
1 La 0.000 0.000 0.000 [2 per cell]
2 Tb 0.000 0.000 0.202 [4 per cell]
3 Nd 0.000 0.000 0.396 [4 per cell]

The calculation puts the density of states at the Fermi level at 1.520 states/eV/atom.

=====

*b*
DFT (PBE) results for crystalline LaTb2Nd2 at its relaxed geometry.

Cell lengths 9.320, 8.775, 9.603 Å; angles 90.00, 118.29, 90.00 degrees
Space group C2/c (No. 15)
Inequivalent atoms, fractional coordinates:
1 La 0.000 0.072 0.250 [4 per cell]
2 Tb 0.041 0.296 0.953 [8 per cell]
3 Nd 0.206 0.426 0.339 [8 per cell]

The calculation puts the density of states at the Fermi level at 1.332 states/eV/atom.

=====

Stability ranking, top entry: *a*; the second entry is 0.099 eV/atom less favorable.

=====

*a*
DFT (PBE) results for crystalline La2Tb2Nd7 at its relaxed geometry.

Cell lengths 9.030, 9.037, 11.245 Å; angles 97.12, 97.04, 119.65 degrees
Space group P-1 (No. 2)
Inequivalent atoms, fractional coordinates:
1 La 0.090 0.343 0.491 [2 per cell]
2 La 0.343 0.090 0.991 [2 per cell]
3 Tb 0.087 0.547 0.755 [2 per cell]
4 Tb 0.452 0.912 0.745 [2 per cell]
5 Nd 0.084 0.233 0.090 [2 per cell]
6 Nd 0.086 0.915 0.250 [2 per cell]
7 Nd 0.233 0.085 0.590 [2 per cell]
8 Nd 0.237 0.659 0.073 [2 per cell]
9 Nd 0.342 0.763 0.427 [2 per cell]
10 Nd 0.386 0.435 0.860 [2 per cell]
11 Nd 0.435 0.386 0.360 [2 per cell]

The calculation puts the density of states at the Fermi level at 1.300 states/eV/atom.

=====

*b*
DFT (PBE) results for crystalline La2Tb2Nd7 at its relaxed geometry.

Cell lengths 11.659, 11.724, 6.183 Å; angles 90.00, 112.36, 90.00 degrees
Space group C2/m (No. 12)
Inequivalent atoms, fractional coordinates:
1 La 0.228 0.000 0.096 [4 per cell]
2 Tb 0.000 0.221 0.000 [4 per cell]
3 Nd 0.000 0.000 0.500 [2 per cell]
4 Nd 0.080 0.500 0.302 [4 per cell]
5 Nd 0.179 0.232 0.676 [8 per cell]

The calculation puts the density of states at the Fermi level at 1.518 states/eV/atom.

=====

Stability ranking, top entry: *a*; the second entry is 0.025 eV/atom less favorable.

=====

*a*
DFT (PBE) results for crystalline La6TbNd3 at its relaxed geometry.

Cell lengths 11.586, 7.021, 9.327 Å; angles 90.00, 107.77, 90.00 degrees
Space group C2/m (No. 12)
Inequivalent atoms, fractional coordinates:
1 La 0.128 0.000 0.421 [4 per cell]
2 La 0.198 0.266 0.805 [8 per cell]
3 Tb 0.000 0.000 0.000 [2 per cell]
4 Nd 0.000 0.500 0.500 [2 per cell]
5 Nd 0.074 0.500 0.170 [4 per cell]

The calculation puts the density of states at the Fermi level at 1.729 states/eV/atom.

=====

*b*
DFT (PBE) results for crystalline La6TbNd3 at its relaxed geometry.

Cell lengths 10.994, 19.656, 6.646 Å; angles 90.00, 90.00, 90.00 degrees
Space group Cmc2_1 (No. 36)
Inequivalent atoms, fractional coordinates:
1 La 0.000 0.031 0.000 [4 per cell]
2 La 0.000 0.282 0.807 [4 per cell]
3 La 0.173 0.460 0.703 [8 per cell]
4 La 0.223 0.293 0.518 [8 per cell]
5 Tb 0.000 0.187 0.253 [4 per cell]
6 Nd 0.000 0.384 0.228 [4 per cell]
7 Nd 0.176 0.119 0.610 [8 per cell]

The calculation puts the density of states at the Fermi level at 1.382 states/eV/atom.

=====

Stability ranking, top entry: *b*; the second entry is 0.064 eV/atom less favorable.